No. 1
## Sr2NiIr2 (PBE-GGA)

Data for a geometry-optimized Sr2NiIr2 structure.

density = 9.54 g/cm3
E_tot = -5.3608 eV per atom

Structure (extended XYZ):
```
10
Lattice="6.678 0.000 0.000 0.000 6.678 0.000 0.000 0.000 4.828" Properties=species:S:1:pos:R:3 pbc="T T T"
Sr 1.198 4.537 2.414
Sr 4.537 5.480 2.414
Sr 5.480 2.141 2.414
Sr 2.141 1.198 2.414
Ir 2.461 5.800 0.000
Ir 5.800 4.217 0.000
Ir 4.217 0.878 0.000
Ir 0.878 2.461 0.000
Ni 0.000 0.000 0.000
Ni 3.339 3.339 0.000
```

=====

No. 2
## SrNi2Ir (PBE-GGA)

Data for a geometry-optimized SrNi2Ir structure.

density = 10.12 g/cm3
E_tot = -4.7705 eV per atom

Structure (extended XYZ):
```
4
Lattice="9.233 0.002 0.001 8.783 2.846 0.001 8.783 1.389 2.484" Properties=species:S:1:pos:R:3 pbc="T T T"
Ir 20.100 3.177 1.865
Ni 0.307 0.049 0.029
Ni 13.092 2.070 1.215
Sr 6.700 1.059 0.622
```

=====

No. 3
## SrNi2Ir (PBE-GGA)

Data for a geometry-optimized SrNi2Ir structure.

density = 9.84 g/cm3
E_tot = -5.0002 eV per atom

Structure (extended XYZ):
```
4
Lattice="-0.149 -0.226 -5.037 3.327 -3.331 -1.809 -3.551 -0.262 3.572" Properties=species:S:1:pos:R:3 pbc="T T T"
Ir -1.055 -1.133 -2.444
Ni 0.000 0.000 0.000
Ni 0.683 -2.686 -0.830
Sr 1.589 -1.779 -3.423
```

=====

No. 4
## SrNi2Ir (PBE-GGA)

Data for a geometry-optimized SrNi2Ir structure.

density = 9.80 g/cm3
E_tot = -4.9261 eV per atom

Structure (extended XYZ):
```
4
Lattice="4.565 0.000 0.000 2.283 3.954 0.000 2.283 1.318 3.727" Properties=species:S:1:pos:R:3 pbc="T T T"
Ir 4.565 2.636 1.864
Ni 0.000 0.000 0.000
Ni 2.283 1.318 0.932
Sr 6.848 3.954 2.796
```

=====

No. 5
## Sr6NiIr (PBE-GGA)

Data for a geometry-optimized Sr6NiIr structure.

density = 3.89 g/cm3
E_tot = -3.1799 eV per atom

Structure (extended XYZ):
```
8
Lattice="7.260 -0.056 -1.219 -3.859 6.149 -1.219 0.116 0.208 7.382" Properties=species:S:1:pos:R:3 pbc="T T T"
Sr 0.878 5.679 3.700
Sr 4.372 3.729 3.700
Sr -0.855 2.573 1.243
Sr 2.638 0.623 1.243
Sr 0.941 1.687 4.904
Sr 2.576 4.615 0.039
Ni 0.000 0.000 0.000
Ir 1.758 3.151 2.471
```

=====

No. 6
## Sr2NiIr2 (PBE-GGA)

Data for a geometry-optimized Sr2NiIr2 structure.

density = 9.20 g/cm3
E_tot = -5.4934 eV per atom

Structure (extended XYZ):
```
10
Lattice="-3.897 3.377 -1.504 -1.631 -0.769 -5.060 -6.680 -5.056 1.641" Properties=species:S:1:pos:R:3 pbc="T T T"
Sr -3.250 0.635 -1.569
Sr -6.190 0.493 -3.276
Sr -8.958 -3.083 -3.354
Sr -6.018 -2.941 -1.647
Ni -3.493 -1.683 -4.349
Ni -8.715 -0.765 -0.574
Ir -6.280 -0.041 -0.295
Ir -10.954 -1.851 -1.163
Ir -5.929 -2.407 -4.628
Ir -1.254 -0.598 -3.760
```

=====

No. 7
## SrNi2Ir (PBE-GGA)

Data for a geometry-optimized SrNi2Ir structure.

density = 8.33 g/cm3
E_tot = -5.6810 eV per atom

Structure (extended XYZ):
```
4
Lattice="4.207 -0.004 0.045 2.106 3.642 0.045 2.064 1.189 5.194" Properties=species:S:1:pos:R:3 pbc="T T T"
Sr 6.283 3.620 3.963
Ir 2.094 1.207 1.321
Ni 6.306 3.633 1.093
Ni 4.196 2.418 1.639
```

=====

No. 8
## SrNi2Ir2 (PBE-GGA)

Data for a geometry-optimized SrNi2Ir2 structure.

energy relative to the lowest polymorph listed for this composition = 0.0864 eV per atom
density = 12.42 g/cm3
E_tot = -6.0495 eV per atom

Structure (extended XYZ):
```
10
Lattice="7.600 0.000 0.000 0.000 7.600 0.000 0.000 0.000 2.729" Properties=species:S:1:pos:R:3 pbc="T T T"
Sr 0.000 0.000 0.000
Sr 3.800 3.800 0.000
Ir 0.968 4.768 1.364
Ir 4.768 6.632 1.364
Ir 6.632 2.832 1.364
Ir 2.832 0.968 1.364
Ni 2.520 6.319 0.000
Ni 6.319 5.080 0.000
Ni 5.080 1.280 0.000
Ni 1.280 2.520 0.000
```